A relaxed structure of Y2Ge2O7, computed with PBEsol.

Properties
total moment = 0.00 μB per formula unit
DOS(E_F) = 0.00 states/eV/cell
raw formation energy = -254.6 kJ/mol of atoms
offset from the most stable computed form = 54 meV per atom

Geometry as CIF:
```
data_Y2Ge2O7
_chemical_formula_sum 'Y8 Ge8 O28'
_space_group_name_H-M_alt 'P -1'
_space_group_IT_number 2
_cell_length_a 6.786
_cell_length_b 6.820
_cell_length_c 11.967
_cell_angle_alpha 94.73
_cell_angle_beta 94.20
_cell_angle_gamma 92.65
loop_
_space_group_symop_operation_xyz
'x,y,z'
'-x,-y,-z'
loop_
_atom_site_label
_atom_site_type_symbol
_atom_site_fract_x
_atom_site_fract_y
_atom_site_fract_z
Y1 Y 0.075 0.090 0.370
Y2 Y 0.174 0.690 0.872
Y3 Y 0.267 0.362 0.626
Y4 Y 0.334 0.029 0.118
Ge1 Ge 0.150 0.174 0.889
Ge2 Ge 0.234 0.586 0.375
Ge3 Ge 0.321 0.504 0.149
Ge4 Ge 0.390 0.846 0.608
O1 O 0.024 0.998 0.188
O2 O 0.055 0.761 0.383
O3 O 0.103 0.242 0.029
O4 O 0.126 0.423 0.232
O5 O 0.172 0.384 0.449
O6 O 0.221 0.370 0.816
O7 O 0.221 0.704 0.681
O8 O 0.232 0.034 0.569
O9 O 0.269 0.694 0.065
O10 O 0.338 0.004 0.916
O11 O 0.392 0.074 0.311
O12 O 0.431 0.629 0.282
O13 O 0.436 0.694 0.487
O14 O 0.485 0.324 0.117
```